Record 1
A plane-wave DFT calculation with PBE-GGA was carried out for crystalline MgPd2Au at its relaxed geometry.

Cell lengths 6.4087, 6.4087, 6.4087 Å; angles 90.00, 90.00, 90.00 degrees
Last column: nearest neighbours and their distance in Å.
Space group F-43m (No. 216)
Inequivalent atoms, fractional coordinates:
Mg1 0.0000 0.0000 0.0000 x4  4 Au 2.78, 4 Pd 2.78
Pd1 0.0000 0.0000 0.5000 x4  4 Pd 2.78, 4 Au 2.78
Pd2 0.2500 0.2500 0.2500 x4  4 Mg 2.78, 4 Pd 2.78
Au1 0.2500 0.2500 0.7500 x4  4 Pd 2.78, 4 Mg 2.78

Values from the calculation:
E_tot	-68.2	eV per cell
formation energy from the elements	-0.450	eV/atom

=====

Record 2
A plane-wave DFT calculation with PBE-GGA was carried out for crystalline Mg8Pd2Au at its relaxed geometry.

Cell lengths 4.4679, 7.4234, 12.6940 Å; angles 90.00, 90.00, 90.00 degrees
Last column: nearest neighbours and their distance in Å.
Space group Immm (No. 71)
Inequivalent atoms, fractional coordinates:
Mg1 0.0000 0.0000 0.1458 x4  2 Au 2.90, 8 Mg 2.95-3.07, 2 Pd 3.04
Mg2 0.0000 0.2165 0.3411 x8  3 Pd 2.78-2.83, 1 Au 2.92, 5 Mg 2.95-3.07
Mg3 0.0000 0.3107 0.0000 x4  7 Mg 2.81-3.02, 2 Pd 2.82
Pd1 0.0000 0.5000 0.1922 x4  10 Mg 2.78-3.04
Au1 0.0000 0.5000 0.5000 x2  12 Mg 2.90-3.21

Values from the calculation:
energy above the lowest structure with this stoichiometry	2.5	meV per atom
E_tot	-62.3	eV per cell
formation energy from the elements	-0.432	eV/atom

=====

Record 3
A plane-wave DFT calculation with PBE-GGA was carried out for crystalline MgPd3Au3 at its relaxed geometry.

Cell lengths 7.5426, 7.5426, 4.7566 Å; angles 90.00, 90.00, 120.00 degrees
Last column: nearest neighbours and their distance in Å.
Space group P6_3/m (No. 176)
Inequivalent atoms, fractional coordinates:
Mg1 0.3333 0.6667 0.2500 x2  3 Au 2.81, 9 Pd 2.84-2.90
Pd1 0.0935 0.4740 0.7500 x6  5 Au 2.80-2.85, 3 Mg 2.84-2.90, 4 Pd 2.88-2.89
Au1 0.0471 0.2461 0.2500 x6  5 Pd 2.80-2.85, 1 Mg 2.81, 6 Au 2.93-2.96

Values from the calculation:
E_tot	-58.4	eV per cell
formation energy from the elements	-0.316	eV/atom

=====

Record 4
A plane-wave DFT calculation with PBE-GGA was carried out for crystalline MgPd3Au3 at its relaxed geometry.

Cell lengths 7.5275, 7.5275, 4.7566 Å; angles 90.00, 90.00, 120.00 degrees
Last column: nearest neighbours and their distance in Å.
Space group P6_3/m (No. 176)
Inequivalent atoms, fractional coordinates:
Mg1 0.3333 0.6667 0.2500 x2  9 Au 2.82-2.92, 3 Pd 2.85
Pd1 0.0448 0.2371 0.2500 x6  5 Au 2.79-2.87, 6 Pd 2.84-2.89, 1 Mg 2.85
Au1 0.0901 0.4673 0.7500 x6  5 Pd 2.79-2.87, 3 Mg 2.82-2.92, 4 Au 2.90-2.93

Values from the calculation:
E_tot	-58.4	eV per cell
formation energy from the elements	-0.316	eV/atom

=====

Record 5
A plane-wave DFT calculation with PBE-GGA was carried out for crystalline Mg2Pd2Au at its relaxed geometry.

Cell lengths 7.5248, 7.5248, 2.9949 Å; angles 90.00, 90.00, 90.00 degrees
Last column: nearest neighbours and their distance in Å.
Space group P4/mbm (No. 127)
Inequivalent atoms, fractional coordinates:
Mg1 0.1511 0.3489 0.0000 x4  6 Pd 2.64-2.68, 2 Au 2.86
Pd1 0.1447 0.6447 0.5000 x4  6 Mg 2.64-2.68
Au1 0.0000 0.0000 0.0000 x2  4 Mg 2.86, 2 Au 2.99

Values from the calculation:
energy above the lowest structure with this stoichiometry	107.4	meV per atom
E_tot	-38.6	eV per cell
formation energy from the elements	-0.485	eV/atom

=====

Record 6
A plane-wave DFT calculation with PBE-GGA was carried out for crystalline Mg2Pd3Au4 at its relaxed geometry.

Cell lengths 4.0939, 4.9914, 8.5669 Å; angles 73.45, 76.27, 65.81 degrees
Last column: nearest neighbours and their distance in Å.
Space group P-1 (No. 2)
Inequivalent atoms, fractional coordinates:
Mg1 0.1689 0.3905 0.2714 x2  5 Pd 2.82-2.91, 7 Au 2.86-2.92
Pd1 0.1670 0.7227 0.9444 x2  3 Mg 2.82-2.84, 6 Au 2.85-2.90, 3 Pd 2.87-2.90
Pd2 0.5000 0.5000 0.5000 x1  8 Au 2.87-2.88, 4 Mg 2.91
Au1 0.1654 0.0601 0.6092 x2  4 Au 2.86-2.90, 4 Pd 2.87-2.89, 4 Mg 2.88-2.92
Au2 0.4963 0.1720 0.8346 x2  6 Pd 2.85-2.90, 3 Mg 2.86-2.88, 3 Au 2.86-2.90

Values from the calculation:
energy above the lowest structure with this stoichiometry	0.0	meV per atom
E_tot	-35.9	eV per cell
formation energy from the elements	-0.448	eV/atom

=====

Record 7
A plane-wave DFT calculation with PBE-GGA was carried out for crystalline Mg2Pd2Au5 at its relaxed geometry.

Cell lengths 8.4123, 4.6677, 8.0318 Å; angles 90.00, 90.00, 90.00 degrees
Last column: nearest neighbours and their distance in Å.
Space group Amm2 (No. 38)
Inequivalent atoms, fractional coordinates:
Mg1 0.0000 0.0000 0.0000 x2  5 Au 2.68-2.78
Mg2 0.5000 0.0000 0.3330 x2  8 Au 2.76-3.05, 6 Pd 3.03-3.05
Pd1 0.3301 0.0000 0.6663 x4  7 Au 2.68-3.00, 1 Pd 2.86
Au1 0.0000 0.0000 0.6662 x2  3 Mg 2.68-2.69, 2 Pd 2.78
Au2 0.1725 0.0000 0.3330 x4  4 Mg 2.76-3.06, 7 Au 2.90-3.06, 3 Pd 2.99-3.00
Au3 0.3301 0.0000 0.0002 x4  3 Pd 2.68-2.69, 1 Mg 2.78, 4 Au 2.86-3.00

Values from the calculation:
E_tot	-66.4	eV per cell
formation energy from the elements	-0.358	eV/atom

=====

Record 8
A plane-wave DFT calculation with PBE-GGA was carried out for crystalline MgPd2Au3 at its relaxed geometry.

Cell lengths 4.9879, 6.5141, 7.0606 Å; angles 112.19, 90.43, 105.53 degrees
Last column: nearest neighbours and their distance in Å.
Space group P-1 (No. 2)
Inequivalent atoms, fractional coordinates:
Mg1 0.1294 0.1214 0.3580 x2  5 Pd 2.76-2.93, 6 Au 2.81-2.97, 1 Mg 3.09
Pd1 0.2099 0.8764 0.9586 x2  2 Mg 2.76-2.80, 6 Au 2.83-2.95, 4 Pd 2.84-2.94
Pd2 0.4445 0.1245 0.7024 x2  3 Mg 2.82-2.93, 6 Au 2.83-2.93, 3 Pd 2.85-2.94
Au1 0.0354 0.3657 0.7835 x2  2 Mg 2.82-2.93, 4 Pd 2.83-2.95, 6 Au 2.84-2.97
Au2 0.2971 0.6352 0.5446 x2  3 Mg 2.81-2.97, 3 Pd 2.83-2.86, 6 Au 2.84-2.95
Au3 0.3723 0.3671 0.1203 x2  1 Mg 2.81, 5 Pd 2.83-2.93, 6 Au 2.88-2.94

Values from the calculation:
energy above the lowest structure with this stoichiometry	0.0	meV per atom
E_tot	-47.7	eV per cell
formation energy from the elements	-0.337	eV/atom

=====

Record 9
A plane-wave DFT calculation with PBE-GGA was carried out for crystalline MgPd4Au5 at its relaxed geometry.

Cell lengths 3.8297, 7.9327, 12.2708 Å; angles 90.00, 90.00, 90.00 degrees
Last column: nearest neighbours and their distance in Å.
Space group Immm (No. 71)
Inequivalent atoms, fractional coordinates:
Mg1 0.0000 0.0000 0.0000 x2  4 Pd 2.69, 4 Au 2.77
Pd1 0.0000 0.0000 0.3303 x4  8 Au 2.75-2.83, 2 Pd 2.94
Pd2 0.0000 0.2622 0.5000 x4  2 Mg 2.69, 6 Au 2.80-2.83, 2 Pd 2.94
Au1 0.0000 0.2367 0.1659 x8  5 Pd 2.75-2.83, 1 Mg 2.77, 3 Au 2.82-2.92
Au2 0.0000 0.5000 0.0000 x2  8 Pd 2.83, 4 Au 2.92

Values from the calculation:
energy above the lowest structure with this stoichiometry	63.7	meV per atom
E_tot	-79.2	eV per cell
formation energy from the elements	-0.087	eV/atom

=====

Record 10
A plane-wave DFT calculation with PBE-GGA was carried out for crystalline Mg2Pd3Au2 at its relaxed geometry.

Cell lengths 8.9069, 4.0866, 6.4731 Å; angles 90.00, 100.03, 90.00 degrees
Last column: nearest neighbours and their distance in Å.
Space group C2/m (No. 12)
Inequivalent atoms, fractional coordinates:
Mg1 0.2037 0.0000 0.1646 x4  6 Pd 2.77-3.01, 4 Au 2.78-2.85
Pd1 0.0000 0.5000 0.0000 x2  6 Mg 2.82-3.01, 2 Pd 2.83, 4 Au 2.89
Pd2 0.1374 0.5000 0.4283 x4  3 Mg 2.77-2.79, 4 Pd 2.77-2.90, 5 Au 2.83-2.90
Au1 0.0845 0.0000 0.7256 x4  4 Mg 2.78-2.85, 7 Pd 2.83-2.90, 1 Au 3.04

Values from the calculation:
energy above the lowest structure with this stoichiometry	0.0	meV per atom
E_tot	-57.8	eV per cell
formation energy from the elements	-0.514	eV/atom

=====

Record 11
A plane-wave DFT calculation with PBE-GGA was carried out for crystalline Mg3PdAu at its relaxed geometry.

Cell lengths 8.3040, 6.6746, 14.2412 Å; angles 90.00, 105.41, 90.00 degrees
Last column: nearest neighbours and their distance in Å.
Space group C2/c (No. 15)
Inequivalent atoms, fractional coordinates:
Mg1 0.0800 0.2041 0.1634 x8  2 Au 2.63-2.68, 2 Pd 2.68-2.70, 1 Mg 2.89
Mg2 0.1558 0.4331 0.9655 x8  2 Au 2.80-3.01, 2 Pd 2.85-2.89, 3 Mg 2.93-3.13
Mg3 0.1793 0.2408 0.6503 x8  3 Pd 2.76-2.95, 2 Au 2.77, 1 Mg 2.89
Pd1 0.1425 0.0924 0.8388 x8  7 Mg 2.68-2.95, 2 Au 2.91, 1 Pd 2.97
Au1 0.0000 0.0000 0.0000 x4  6 Mg 2.63-2.80, 2 Pd 2.91
Au2 0.0000 0.4682 0.7500 x4  4 Mg 2.68-2.77, 2 Pd 2.91

Values from the calculation:
energy above the lowest structure with this stoichiometry	89.9	meV per atom
E_tot	-124.7	eV per cell
formation energy from the elements	-0.467	eV/atom

=====

Record 12
A plane-wave DFT calculation with PBE-GGA was carried out for crystalline MgPd4Au4 at its relaxed geometry.

Cell lengths 8.5320, 8.5320, 4.1068 Å; angles 90.00, 90.00, 90.00 degrees
Last column: nearest neighbours and their distance in Å.
Space group I4/mmm (No. 139)
Inequivalent atoms, fractional coordinates:
Mg1 0.0000 0.0000 0.0000 x2  4 Pd 2.85, 8 Au 2.87
Pd1 0.0000 0.3337 0.0000 x8  5 Pd 2.84-2.87, 6 Au 2.84-2.88, 1 Mg 2.85
Au1 0.1667 0.1667 0.5000 x8  4 Au 2.84-2.87, 6 Pd 2.84-2.88, 2 Mg 2.87

Values from the calculation:
E_tot	-76.0	eV per cell
formation energy from the elements	-0.281	eV/atom